(1)
VASP calculation (meta-GGA SCAN) on a crystal of Mn2TlRh relaxed with PBEsol.

Results
- E_form (meV/atom) = 39
- crystal system = orthorhombic
- total magnetization (μB per cell) = 7.5
- uncorrected energy (eV/atom) = -35.621
- space group = Pmm2, No. 25

Cell and atoms, written as POSCAR:
```
Mn2TlRh
1.0
2.972 0.000 0.000
0.000 3.396 0.000
0.000 0.000 5.896
Mn Tl Rh
2 1 1
direct
0.000 0.000 0.000 Mn
0.500 0.500 0.216 Mn
0.500 0.500 0.721 Tl
0.000 0.000 0.427 Rh
```

(2)
VASP calculation (meta-GGA SCAN) on a crystal of Mg2InSe relaxed with PBEsol.

Results
- ΔE_f (raw) (eV/atom) = -0.566
- crystal system = tetragonal
- total magnetization (μB per cell) = 0.0
- uncorrected energy (eV/atom) = -16.419
- space group = P4mm, No. 99

Cell and atoms, written as POSCAR:
```
Mg2InSe
1.0
3.554 0.000 0.000
0.000 3.554 0.000
0.000 0.000 8.093
Mg In Se
2 1 1
direct
0.000 0.000 0.000 Mg
0.500 0.500 0.418 Mg
0.500 0.500 0.776 In
0.000 0.000 0.318 Se
```

(3)
VASP calculation (meta-GGA SCAN) on a crystal of Cs2AgSbS4 relaxed with PBEsol.

Results
- ΔE_f (raw) (eV/atom) = -0.777
- crystal system = triclinic
- total magnetization (μB per cell) = 0.0
- uncorrected energy (eV/atom) = -23.622
- space group = P-1, No. 2

Cell and atoms, written as POSCAR:
```
Cs2AgSbS4
1.0
6.889 0.000 0.000
2.199 6.906 0.000
2.609 2.321 10.276
Cs Ag Sb S
4 2 2 8
direct
0.216 0.258 0.095 Cs
0.259 0.005 0.690 Cs
0.741 0.995 0.310 Cs
0.784 0.742 0.905 Cs
0.109 0.591 0.568 Ag
0.891 0.409 0.432 Ag
0.376 0.634 0.266 Sb
0.624 0.366 0.734 Sb
0.232 0.872 0.395 S
0.257 0.761 0.068 S
0.258 0.446 0.769 S
0.273 0.341 0.386 S
0.727 0.659 0.614 S
0.742 0.554 0.231 S
0.743 0.239 0.932 S
0.768 0.128 0.605 S
```

(4)
VASP calculation (meta-GGA SCAN) on a crystal of CrNi2Rh relaxed with PBEsol.

Results
- E_form (meV/atom) = 66
- crystal system = tetragonal
- total magnetization (μB per cell) = 0.0
- uncorrected energy (eV/atom) = -21.060
- space group = P4mm, No. 99

Cell and atoms, written as POSCAR:
```
CrNi2Rh
1.0
2.553 0.000 0.000
0.000 2.553 0.000
0.000 0.000 6.992
Cr Ni Rh
1 2 1
direct
0.000 0.000 0.000 Cr
0.000 0.000 0.478 Ni
0.500 0.500 0.237 Ni
0.500 0.500 0.743 Rh
```

(5)
VASP calculation (meta-GGA SCAN) on a crystal of TlZnAg2 relaxed with PBEsol.

Results
- E_form (meV/atom) = 166
- crystal system = orthorhombic
- total magnetization (μB per cell) = 0.0
- uncorrected energy (eV/atom) = -36.986
- space group = Imm2, No. 44

Cell and atoms, written as POSCAR:
```
TlZnAg2
1.0
-1.870 2.207 4.389
1.870 -2.207 4.389
1.870 2.207 -4.389
Tl Zn Ag
1 1 2
direct
0.000 0.000 0.000 Tl
0.257 0.757 0.500 Zn
0.484 0.484 0.000 Ag
0.737 0.237 0.500 Ag
```

(6)
VASP calculation (meta-GGA SCAN) on a crystal of LiZnRu2 relaxed with PBEsol.

Results
- E_form (meV/atom) = 193
- crystal system = tetragonal
- total magnetization (μB per cell) = 0.0
- uncorrected energy (eV/atom) = -21.196
- space group = P4/mmm, No. 123

Cell and atoms, written as POSCAR:
```
LiZnRu2
1.0
3.571 0.000 0.000
0.000 3.571 0.000
0.000 0.000 4.092
Li Zn Ru
1 1 2
direct
0.000 0.000 0.000 Li
0.500 0.500 0.000 Zn
0.000 0.500 0.500 Ru
0.500 0.000 0.500 Ru
```